[1]
4
Lattice="1.641 0.948 10.801 -1.641 0.948 10.801 0.000 -1.895 10.801" Properties=species:S:1:pos:R:3 comment="PBE Th2AlV, optimized geometry" sg=R-3m formation_enthalpy_0k_ev_per_atom=0.54 total_energy_ev_per_cell=-25.5 pbc="T T T"
Th 0.000 0.000 2.764
Th 0.000 0.000 29.640
Al 0.000 0.000 16.202
V 0.000 0.000 0.000



[2]
6
Lattice="0.000 3.709 3.709 3.709 0.000 3.709 3.709 3.709 0.000" Properties=species:S:1:pos:R:3 comment="PBE ThAlV4, optimized geometry" sg=F-43m formation_enthalpy_0k_ev_per_atom=0.17 total_energy_ev_per_cell=-46.6 pbc="T T T"
Th 0.000 0.000 0.000
Al 1.854 1.854 1.854
V 4.642 2.775 2.775
V 2.775 4.642 2.775
V 2.775 2.775 4.642
V 4.642 4.642 4.642



[3]
4
Lattice="0.000 3.271 3.271 3.271 0.000 3.271 3.271 3.271 0.000" Properties=species:S:1:pos:R:3 comment="PBE ThAlV2, optimized geometry" sg=Fm-3m formation_enthalpy_0k_ev_per_atom=0.09 total_energy_ev_per_cell=-29.0 pbc="T T T"
Th 0.000 0.000 0.000
Al 3.271 3.271 3.271
V 1.636 1.636 1.636
V 4.907 4.907 4.907



[4]
46
Lattice="0.000 7.283 7.283 7.283 0.000 7.283 7.283 7.283 0.000" Properties=species:S:1:pos:R:3 comment="PBE ThAl20V2, optimized geometry" sg=Fd-3m formation_enthalpy_0k_ev_per_atom=-0.21 total_energy_ev_per_cell=-210.8 pbc="T T T"
Th 1.821 1.821 1.821
Th 12.745 12.745 12.745
Al 0.000 0.000 0.000
Al 3.641 3.641 0.000
Al 3.641 0.000 3.641
Al 4.746 2.788 2.788
Al 8.136 6.178 2.788
Al 8.136 2.788 6.178
Al 9.819 6.430 6.430
Al 11.778 8.388 6.430
Al 11.778 6.430 8.388
Al 5.462 5.462 3.465
Al 5.462 3.465 5.462
Al 7.460 5.462 5.462
Al 2.788 4.746 2.788
Al 6.178 8.136 2.788
Al 2.788 2.788 4.746
Al 8.136 8.136 4.746
Al 6.178 2.788 8.136
Al 8.136 4.746 8.136
Al 9.104 9.104 7.106
Al 9.104 7.106 9.104
Al 11.101 9.104 9.104
Al 0.000 3.641 3.641
Al 3.465 5.462 5.462
Al 5.462 7.460 5.462
Al 5.462 5.462 7.460
Al 6.430 9.819 6.430
Al 8.388 11.778 6.430
Al 6.430 6.430 9.819
Al 11.778 11.778 9.819
Al 8.388 6.430 11.778
Al 11.778 9.819 11.778
Al 7.106 9.104 9.104
Al 9.104 11.101 9.104
Al 9.104 9.104 11.101
Al 2.788 8.136 6.178
Al 2.788 6.178 8.136
Al 4.746 8.136 8.136
Al 6.430 11.778 8.388
Al 6.430 8.388 11.778
Al 9.819 11.778 11.778
V 7.283 3.641 3.641
V 3.641 7.283 3.641
V 3.641 3.641 7.283
V 7.283 7.283 7.283



[5]
12
Lattice="6.931 -2.799 0.000 6.931 2.799 0.000 -5.873 0.000 8.581" Properties=species:S:1:pos:R:3 comment="PBE Y7ThAl4, optimized geometry" sg=C2/m formation_enthalpy_0k_ev_per_atom=-0.03 total_energy_ev_per_cell=-68.1 pbc="T T T"
Y 0.000 0.000 0.000
Y -0.993 0.000 5.547
Y 3.295 0.000 1.021
Y 2.421 0.000 5.250
Y 5.569 0.000 3.332
Y 4.694 0.000 7.560
Y 8.982 0.000 3.034
Th 6.931 0.000 0.000
Al -3.737 0.000 6.526
Al 0.519 0.000 2.850
Al 7.470 0.000 5.731
Al 11.726 0.000 2.056



[6]
10
Lattice="5.631 0.000 0.000 0.000 3.694 0.000 -1.741 0.000 13.184" Properties=species:S:1:pos:R:3 comment="PBE Y2ThAl2, optimized geometry" sg=P2_1/m formation_enthalpy_0k_ev_per_atom=-0.12 total_energy_ev_per_cell=-56.8 pbc="T T T"
Y 0.685 0.924 1.452
Y 0.538 2.771 7.064
Y 3.352 0.924 6.120
Y 3.205 2.771 11.732
Th 0.396 0.924 10.070
Th 3.495 2.771 3.114
Al 0.569 0.924 4.475
Al 0.313 2.771 12.661
Al 3.577 0.924 0.523
Al 3.321 2.771 8.709



[7]
8
Lattice="6.405 0.000 0.000 -3.203 5.547 0.000 0.000 0.000 4.646" Properties=species:S:1:pos:R:3 comment="PBE YThAl6, optimized geometry" sg=P-6m2 formation_enthalpy_0k_ev_per_atom=-0.42 total_energy_ev_per_cell=-39.7 pbc="T T T"
Y 0.000 0.000 0.000
Th 0.000 3.698 2.323
Al 1.816 1.048 2.323
Al 3.203 0.281 0.000
Al 1.845 2.633 0.000
Al 4.590 1.048 2.323
Al 3.203 3.451 2.323
Al 4.561 2.633 0.000



[8]
10
Lattice="2.126 -13.230 0.000 2.126 13.230 0.000 0.000 0.000 4.323" Properties=species:S:1:pos:R:3 comment="PBE YThAl3, optimized geometry" sg=Cmcm formation_enthalpy_0k_ev_per_atom=-0.44 total_energy_ev_per_cell=-54.6 pbc="T T T"
Y 2.126 7.798 3.243
Y 2.126 -7.798 1.081
Th 2.126 11.307 1.081
Th 2.126 -11.307 3.243
Al 2.126 4.615 3.243
Al 2.126 3.178 1.081
Al 2.126 0.644 1.081
Al 2.126 -0.644 3.243
Al 2.126 -3.178 3.243
Al 2.126 -4.615 1.081



[9]
16
Lattice="10.245 0.000 0.000 0.000 7.382 0.000 0.000 0.000 5.123" Properties=species:S:1:pos:R:3 comment="PBE Y3ThAl4, optimized geometry" sg=Pmma formation_enthalpy_0k_ev_per_atom=-0.35 total_energy_ev_per_cell=-89.2 pbc="T T T"
Y 0.000 0.000 0.000
Y 2.561 0.000 2.556
Y 2.561 3.691 2.556
Y 5.122 0.000 0.000
Y 7.684 0.000 2.567
Y 7.684 3.691 2.567
Th 0.000 3.691 0.000
Th 5.122 3.691 0.000
Al 0.000 1.779 2.561
Al 0.000 5.603 2.561
Al 2.561 1.778 5.116
Al 2.561 5.604 5.116
Al 5.122 1.779 2.561
Al 5.122 5.603 2.561
Al 7.684 1.778 0.007
Al 7.684 5.604 0.007



[10]
10
Lattice="7.910 0.000 0.000 0.000 7.910 0.000 0.000 0.000 4.449" Properties=species:S:1:pos:R:3 comment="PBE YTh2Al2, optimized geometry" sg=P4/mbm formation_enthalpy_0k_ev_per_atom=-0.27 total_energy_ev_per_cell=-60.3 pbc="T T T"
Y 0.000 0.000 0.000
Y 3.955 3.955 0.000
Th 1.377 2.578 2.225
Th 2.578 6.533 2.225
Th 5.332 1.377 2.225
Th 6.533 5.332 2.225
Al 0.947 4.902 0.000
Al 3.008 0.947 0.000
Al 4.902 6.962 0.000
Al 6.962 3.008 0.000



[11]
12
Lattice="8.106 -3.637 0.000 8.106 3.637 0.000 -1.607 0.000 4.870" Properties=species:S:1:pos:R:3 comment="PBE Y5ThAl6, optimized geometry" sg=C2/m formation_enthalpy_0k_ev_per_atom=-0.38 total_energy_ev_per_cell=-66.7 pbc="T T T"
Y 0.000 0.000 0.000
Y 1.692 0.000 3.267
Y 4.959 0.000 1.654
Y 9.646 0.000 3.216
Y 12.913 0.000 1.603
Th 8.106 0.000 0.000
Al 4.012 1.886 4.042
Al 7.303 1.946 2.435
Al 10.593 1.886 0.828
Al 4.012 -1.886 4.042
Al 7.303 -1.946 2.435
Al 10.593 -1.886 0.828



[12]
6
Lattice="-2.141 2.141 7.604 2.141 -2.141 7.604 2.141 2.141 -7.604" Properties=species:S:1:pos:R:3 comment="PBE YThAl4, optimized geometry" sg=I-4m2 e_above_lowest_polymorph_kj_per_mol_atoms=3.50 formation_enthalpy_0k_ev_per_atom=-0.43 total_energy_ev_per_cell=-31.4 pbc="T T T"
Y 0.000 0.000 0.000
Th 0.000 2.141 3.802
Al 2.141 0.000 2.542
Al 2.141 0.000 5.062
Al 0.000 0.000 6.358
Al 0.000 0.000 8.850



[13]
6
Lattice="0.000 3.989 3.989 3.989 0.000 3.989 3.989 3.989 0.000" Properties=species:S:1:pos:R:3 comment="PBE YThAl4, optimized geometry" sg=F-43m e_above_lowest_polymorph_kj_per_mol_atoms=0.00 formation_enthalpy_0k_ev_per_atom=-0.46 total_energy_ev_per_cell=-31.6 pbc="T T T"
Y 0.000 0.000 0.000
Th 5.983 5.983 5.983
Al 2.993 2.993 2.993
Al 4.984 4.984 2.993
Al 4.984 2.993 4.984
Al 2.993 4.984 4.984



[14]
6
Lattice="3.559 0.000 0.000 0.000 3.559 0.000 0.000 0.000 12.470" Properties=species:S:1:pos:R:3 comment="PBE Y3ThAl2, optimized geometry" sg=P4/mmm formation_enthalpy_0k_ev_per_atom=-0.27 total_energy_ev_per_cell=-35.9 pbc="T T T"
Y 0.000 0.000 0.000
Y 0.000 0.000 3.753
Y 0.000 0.000 8.717
Th 1.779 1.779 6.235
Al 1.779 1.779 1.888
Al 1.779 1.779 10.581



[15]
6
Lattice="3.577 0.000 0.000 0.000 3.577 0.000 0.000 0.000 13.941" Properties=species:S:1:pos:R:3 comment="PBE Y4ThAl, optimized geometry" sg=P4/mmm formation_enthalpy_0k_ev_per_atom=-0.13 total_energy_ev_per_cell=-37.8 pbc="T T T"
Y 0.000 0.000 1.855
Y 0.000 0.000 12.086
Y 1.788 1.788 4.540
Y 1.788 1.788 9.401
Th 0.000 0.000 6.970
Al 1.788 1.788 0.000



[16]
4
Lattice="0.000 3.653 3.653 3.653 0.000 3.653 3.653 3.653 0.000" Properties=species:S:1:pos:R:3 comment="PBE YThAlZn, optimized geometry" sg=F-43m formation_enthalpy_0k_ev_per_atom=-0.30 total_energy_ev_per_cell=-20.1 pbc="T T T"
Y 0.000 0.000 0.000
Th 3.653 3.653 3.653
Al 5.480 5.480 5.480
Zn 1.827 1.827 1.827



[17]
6
Lattice="4.656 0.000 0.000 0.000 4.629 0.000 0.000 0.000 6.517" Properties=species:S:1:pos:R:3 comment="PBE ThAlZn, optimized geometry" sg=Pmma formation_enthalpy_0k_ev_per_atom=-0.17 total_energy_ev_per_cell=-25.9 pbc="T T T"
Th 1.164 0.000 1.460
Th 3.492 0.000 5.056
Al 1.164 2.315 5.673
Al 3.492 2.315 0.844
Zn 0.000 2.315 3.258
Zn 2.328 2.315 3.258



[18]
11
Lattice="4.990 -5.350 0.000 4.990 5.350 0.000 0.000 0.000 4.063" Properties=species:S:1:pos:R:3 comment="PBE Th2Al3Zn6, optimized geometry" sg=Cmmm formation_enthalpy_0k_ev_per_atom=-0.16 total_energy_ev_per_cell=-35.4 pbc="T T T"
Th 4.990 3.004 0.000
Th 4.990 -3.004 0.000
Al 2.906 0.000 0.000
Al 4.990 0.000 2.032
Al 7.075 0.000 0.000
Zn 1.146 0.000 2.032
Zn 3.008 1.623 2.032
Zn 3.008 -1.623 2.032
Zn 6.973 1.623 2.032
Zn 6.973 -1.623 2.032
Zn 8.834 0.000 2.032



[19]
5
Lattice="-2.138 2.138 5.242 2.138 -2.138 5.242 2.138 2.138 -5.242" Properties=species:S:1:pos:R:3 comment="PBE ThAlZn3, optimized geometry" sg=I4mm e_above_lowest_polymorph_kj_per_mol_atoms=0.00 formation_enthalpy_0k_ev_per_atom=-0.34 total_energy_ev_per_cell=-16.7 pbc="T T T"
Th 0.000 0.000 0.000
Al 0.000 0.000 4.021
Zn 2.138 0.000 2.601
Zn 0.000 0.000 6.487
Zn 0.000 2.138 2.601



[20]
12
Lattice="-3.726 3.726 6.101 3.726 -3.726 6.101 3.726 3.726 -6.101" Properties=species:S:1:pos:R:3 comment="PBE Th4AlZn, optimized geometry" sg=I4/mcm e_above_lowest_polymorph_kj_per_mol_atoms=13.13 formation_enthalpy_0k_ev_per_atom=-0.06 total_energy_ev_per_cell=-70.1 pbc="T T T"
Th 4.894 1.168 -1.631
Th 1.168 2.558 -1.631
Th 4.894 1.168 1.631
Th 1.168 2.558 1.631
Th 2.558 1.168 4.469
Th -1.168 2.558 4.469
Th 2.558 1.168 7.732
Th -1.168 2.558 7.732
Al 0.000 0.000 0.000
Al 0.000 0.000 6.101
Zn 0.000 0.000 3.050
Zn 0.000 0.000 9.151



[21]
6
Lattice="-3.866 3.866 2.767 3.866 -3.866 2.767 3.866 3.866 -2.767" Properties=species:S:1:pos:R:3 comment="PBE Th4AlZn, optimized geometry" sg=I422 e_above_lowest_polymorph_kj_per_mol_atoms=0.00 formation_enthalpy_0k_ev_per_atom=-0.19 total_energy_ev_per_cell=-35.8 pbc="T T T"
Th 2.641 -1.225 1.383
Th 5.090 1.225 1.383
Th 1.225 2.641 1.383
Th -1.225 5.090 1.383
Al 0.000 0.000 2.767
Zn 0.000 0.000 0.000



[22]
3
Lattice="0.000 3.313 3.313 3.313 0.000 3.313 3.313 3.313 0.000" Properties=species:S:1:pos:R:3 comment="PBE ThAlZn, optimized geometry" sg=F-43m formation_enthalpy_0k_ev_per_atom=-0.14 total_energy_ev_per_cell=-12.9 pbc="T T T"
Th 0.000 0.000 0.000
Al 3.313 3.313 3.313
Zn 1.657 1.657 1.657



[23]
3
Lattice="-1.685 1.685 5.787 1.685 -1.685 5.787 1.685 1.685 -5.787" Properties=species:S:1:pos:R:3 comment="PBE ThAlZn, optimized geometry" sg=I4mm formation_enthalpy_0k_ev_per_atom=-0.15 total_energy_ev_per_cell=-12.9 pbc="T T T"
Th 0.000 0.000 0.000
Al 0.000 0.000 3.535
Zn 0.000 0.000 7.980